## Tb3Pm2Ho5 (PBE-GGA)

Data for Tb3Pm2Ho5 after structural relaxation.

Unit cell a=6.7861 b=12.3002 c=12.3002 alpha=44.72 beta=73.99 gamma=73.99
Sites, in units of the cell vectors:
1 Tb 0.2500 0.0000 0.0000
2 Tb 0.7500 0.0000 0.0000
3 Tb 0.3736 0.3774 0.8755
4 Tb 0.6264 0.6226 0.1245
5 Tb 0.8736 0.8755 0.3774
6 Tb 0.1264 0.1245 0.6226
7 Pm 0.1252 0.7741 0.9755
8 Pm 0.8748 0.2259 0.0245
9 Pm 0.6252 0.9755 0.7741
10 Pm 0.3748 0.0245 0.2259
11 Ho 0.2500 0.5000 0.5000
12 Ho 0.7500 0.5000 0.5000
13 Ho 0.5011 0.7489 0.7489
14 Ho 0.9989 0.2511 0.2511
15 Ho 0.4989 0.2511 0.2511
16 Ho 0.0011 0.7489 0.7489
17 Ho 0.1249 0.4639 0.2862
18 Ho 0.8751 0.5361 0.7138
19 Ho 0.6249 0.2862 0.4639
20 Ho 0.3751 0.7138 0.5361

Properties
* space-group type: Ibam (72)
* calculated volume: 689.5 Å³/cell
* energy of formation from the pure elements: 0.4074 eV/atom
* offset from the most stable computed form: 20.5 kJ per mole of atoms
* ρ: 7.7 g/cm3
* total magnetization: 0.000 μB/atom